Here is a relaxed KTlBi crystal from Alexandria. Energies are from GGA-PBE.

Cell lengths 7.014, 7.014, 8.707 Å; angles 126.86, 126.86, 44.41 degrees
Positions (direct):
K (0.056, 0.056, 0.311)
K (0.944, 0.944, 0.689)
Tl (0.335, 0.335, 0.928)
Tl (0.665, 0.665, 0.072)
Bi (0.340, 0.340, 0.314)
Bi (0.660, 0.660, 0.686)

V (A^3/atom): 38.054
Energy relative to the elements (eV per atom): -0.260
Crystal system: monoclinic

---

Here is a relaxed Sr2GaHg5 crystal from Alexandria. Energies are from GGA-PBE.

Cell lengths 6.809, 6.809, 6.772 Å; angles 119.09, 119.09, 91.66 degrees
Positions (direct):
Sr (0.249, 0.751, 0.000)
Sr (0.751, 0.249, 0.000)
Ga (0.249, 0.249, 0.500)
Hg (0.206, 0.206, 0.893)
Hg (0.297, 0.683, 0.499)
Hg (0.683, 0.297, 0.499)
Hg (0.752, 0.752, 0.499)
Hg (0.810, 0.810, 0.103)

V (A^3/atom): 28.102
Energy relative to the elements (eV per atom): -0.345
Crystal system: monoclinic

---

Here is a relaxed ZrP2Se crystal from Alexandria. Energies are from GGA-PBE.

Cell lengths 4.844, 4.844, 3.968 Å; angles 105.11, 105.11, 111.89 degrees
Positions (direct):
Zr (0.000, 0.000, 0.000)
P (0.000, 0.500, 0.500)
P (0.500, 0.000, 0.500)
Se (0.500, 0.500, 0.000)

Raw total energy (eV/atom): -5.936
V (A^3/atom): 19.120
Crystal system: monoclinic

---

Here is a relaxed InBSe2 crystal from Alexandria. Energies are from GGA-PBE.

Cell lengths 8.999, 8.999, 8.999 Å; angles 20.84, 20.84, 20.84 degrees
Positions (direct):
In (0.000, 0.000, 0.000)
B (0.500, 0.500, 0.500)
Se (0.117, 0.117, 0.117)
Se (0.883, 0.883, 0.883)

V (A^3/atom): 20.183
E above lowest polymorph (meV per atom): 357
Crystal system: trigonal

---

Here is a relaxed FeTc2As crystal from Alexandria. Energies are from GGA-PBE.

Cell lengths 4.984, 4.984, 4.984 Å; angles 145.26, 129.22, 63.00 degrees
Positions (direct):
Fe (0.000, 0.000, 0.000)
Tc (0.266, 0.766, 0.500)
Tc (0.540, 0.540, 0.000)
As (0.783, 0.283, 0.500)

V (A^3/atom): 13.514
E above lowest polymorph (meV per atom): 0
Energy relative to the elements (eV per atom): 0.010
Crystal system: orthorhombic

---

Here is a relaxed CaMgSb2 crystal from Alexandria. Energies are from GGA-PBE.

Cell lengths 6.722, 6.722, 6.722 Å; angles 103.95, 103.95, 121.18 degrees
Positions (direct):
Ca (0.000, 0.000, 0.000)
Ca (0.750, 0.250, 0.500)
Mg (0.250, 0.750, 0.500)
Mg (0.500, 0.500, 0.000)
Sb (0.156, 0.125, 0.531)
Sb (0.375, 0.844, 0.969)
Sb (0.594, 0.625, 0.469)
Sb (0.875, 0.406, 0.031)

Raw total energy (eV/atom): -3.440
V (A^3/atom): 28.296
Crystal system: tetragonal

---

Here is a relaxed K2RbAgGe crystal from Alexandria. Energies are from GGA-PBE.

Cell lengths 6.554, 6.554, 4.987 Å; angles 90.00, 90.00, 90.00 degrees
Positions (direct):
K (0.000, 0.500, 0.000)
K (0.500, 0.000, 0.000)
Rb (0.000, 0.000, 0.500)
Ag (0.500, 0.500, 0.000)
Ge (0.500, 0.500, 0.500)

V (A^3/atom): 42.843
E above lowest polymorph (meV per atom): 0
Energy relative to the elements (eV per atom): 0.085
Crystal system: tetragonal

---

Here is a relaxed Ce3HoZn8 crystal from Alexandria. Energies are from GGA-PBE.

Cell lengths 9.478, 9.478, 9.478 Å; angles 33.72, 33.72, 33.72 degrees
Positions (direct):
Ce (0.000, 0.000, 0.000)
Ce (0.121, 0.121, 0.121)
Ce (0.627, 0.627, 0.627)
Ho (0.501, 0.501, 0.501)
Zn (0.062, 0.062, 0.559)
Zn (0.062, 0.559, 0.062)
Zn (0.067, 0.561, 0.561)
Zn (0.312, 0.312, 0.312)
Zn (0.559, 0.062, 0.062)
Zn (0.561, 0.067, 0.561)
Zn (0.561, 0.561, 0.067)
Zn (0.812, 0.812, 0.812)

V (A^3/atom): 19.487
E above lowest polymorph (meV per atom): 0
Energy relative to the elements (eV per atom): -0.283
Crystal system: trigonal

---

Here is a relaxed ZnGaMo2Au crystal from Alexandria. Energies are from GGA-PBE.

Cell lengths 5.196, 5.196, 4.683 Å; angles 90.00, 90.00, 90.00 degrees
Positions (direct):
Zn (0.000, 0.000, 0.000)
Ga (0.500, 0.500, 0.000)
Mo (0.000, 0.500, 0.500)
Mo (0.500, 0.000, 0.500)
Au (0.500, 0.500, 0.500)

V (A^3/atom): 25.286
Energy relative to the elements (eV per atom): 1.667
Crystal system: tetragonal

---

Here is a relaxed AgIO2 crystal from Alexandria. Energies are from GGA-PBE.

Cell lengths 6.614, 6.614, 6.614 Å; angles 31.50, 31.50, 31.50 degrees
Positions (direct):
Ag (0.000, 0.000, 0.000)
I (0.500, 0.500, 0.500)
O (0.390, 0.390, 0.390)
O (0.610, 0.610, 0.610)

Raw total energy (eV/atom): -3.604
V (A^3/atom): 17.527
Crystal system: trigonal

---

Here is a relaxed Ag2AsP crystal from Alexandria. Energies are from GGA-PBE.

Cell lengths 9.729, 9.729, 9.729 Å; angles 156.09, 156.09, 34.07 degrees
Positions (direct):
Ag (0.120, 0.625, 0.995)
Ag (0.375, 0.370, 0.495)
Ag (0.630, 0.125, 0.005)
Ag (0.875, 0.880, 0.505)
As (0.250, 0.750, 0.500)
As (0.500, 0.500, 0.000)
P (0.000, 0.000, 0.000)
P (0.750, 0.250, 0.500)

V (A^3/atom): 18.888
E above lowest polymorph (meV per atom): 142
Energy relative to the elements (eV per atom): 0.331
Crystal system: tetragonal

---

Here is a relaxed Nd2Cu3NiAs4 crystal from Alexandria. Energies are from GGA-PBE.

Cell lengths 4.239, 4.239, 9.953 Å; angles 90.00, 90.00, 90.00 degrees
Positions (direct):
Nd (0.000, 0.500, 0.241)
Nd (0.500, 0.000, 0.759)
Cu (0.000, 0.000, 0.000)
Cu (0.000, 0.500, 0.632)
Cu (0.500, 0.000, 0.368)
Ni (0.500, 0.500, 0.000)
As (0.000, 0.000, 0.500)
As (0.000, 0.500, 0.872)
As (0.500, 0.000, 0.128)
As (0.500, 0.500, 0.500)

V (A^3/atom): 17.882
Energy relative to the elements (eV per atom): -0.636
Crystal system: tetragonal

---

Which formula does entry 1 have?
KTlBi

---

Number 1 is which compound?
KTlBi

---

Number 11 is which compound?
Ag2AsP